1.
DFT (GGA-PBE) results for a geometry-optimized RhSe2Cl structure.

The structure belongs to space group P4/mmm (No. 123); the cell edges are 3.2001, 3.2001 and 7.3629 Å and the angles 90.00°, 90.00° and 90.00°. The inequivalent atoms are Rh at (0.0000, 0.0000, 0.0000), Se at (0.5000, 0.5000, 0.1952) and Cl at (0.0000, 0.0000, 0.5000).

Its energy relative to the elements, uncorrected is 4.2 kJ/mol of atoms.



2.
DFT (GGA-PBE) results for a geometry-optimized TbPmCdOs structure.

The structure belongs to space group F-43m (No. 216); the cell edges are 7.2000, 7.2000 and 7.2000 Å and the angles 90.00°, 90.00° and 90.00°. The inequivalent atoms are Tb at (0.0000, 0.0000, 0.0000), Pm at (0.0000, 0.0000, 0.5000), Cd at (0.2500, 0.2500, 0.7500) and Os at (0.2500, 0.2500, 0.2500).

The calculation puts the formation enthalpy at 0 K at -0.14 eV per atom.



3.
DFT (GGA-PBE) results for a geometry-optimized TbZr3Ru4 structure.

The structure belongs to space group R-3m (No. 166, hexagonal axes); the cell edges are 4.6720, 4.6720 and 23.0435 Å and the angles 90.00°, 90.00° and 120.00°. The inequivalent atoms are Tb at (0.0000, 0.0000, 0.0000), Zr at (0.0000, 0.0000, 0.2488), Zr at (0.0000, 0.0000, 0.5000), Ru at (0.0000, 0.0000, 0.1278) and Ru at (0.0000, 0.0000, 0.3785).

The calculation puts the formation enthalpy at 0 K at -0.57 eV per atom.



4.
DFT (GGA-PBE) results for a geometry-optimized NdCdNi structure.

The structure belongs to space group I4mm (No. 107); the cell edges are 3.4450, 3.4450 and 10.9649 Å and the angles 90.00°, 90.00° and 90.00°. The inequivalent atoms are Nd at (0.0000, 0.0000, 0.0000), Cd at (0.0000, 0.0000, 0.7155) and Ni at (0.0000, 0.0000, 0.3469).

The calculation puts the formation enthalpy at 0 K at -0.16 eV per atom.



Number 1: mass density 6.53 g cm⁻³, calculated volume 75.4 Å³ per cell. Number 2: mass density 10.79 g cm⁻³, calculated volume 373.2 Å³ per cell. Number 3: mass density 9.57 g cm⁻³, calculated volume 435.6 Å³ per cell. Number 4: mass density 8.05 g cm⁻³, calculated volume 130.1 Å³ per cell.